! PBE PmPrY2Sc, optimized geometry; values from VASP
! DOS at the Fermi energy: 8.4 states/eV/f.u.
! Formation energy from the elements: 0.24 eV/f.u.
! E: -28.6 eV/f.u.
&SYSTEM
  ibrav = 0, nat = 10, ntyp = 4
/
ATOMIC_SPECIES
Pm 145.00 Pm.upf
Pr 140.91 Pr.upf
Sc 44.96 Sc.upf
Y 88.91 Y.upf
ATOMIC_POSITIONS crystal
Pm 0.250 0.945 0.848
Pm 0.750 0.055 0.152
Pr 0.250 0.744 0.259
Pr 0.750 0.256 0.741
Sc 0.750 0.452 0.351
Sc 0.250 0.548 0.649
Y 0.750 0.647 0.953
Y 0.250 0.161 0.448
Y 0.750 0.839 0.552
Y 0.250 0.353 0.047
CELL_PARAMETERS angstrom
5.048 0.000 0.000
0.000 7.700 1.819
0.000 -1.799 7.755

=====

! PBE Pm2Pr3Y6Sc, optimized geometry; values from VASP
! DOS at the Fermi energy: 16.3 states/eV/f.u.
! Formation energy from the elements: 0.31 eV/f.u.
! E: -68.6 eV/f.u.
&SYSTEM
  ibrav = 0, nat = 12, ntyp = 4
/
ATOMIC_SPECIES
Pr 140.91 Pr.upf
Sc 44.96 Sc.upf
Y 88.91 Y.upf
Pm 145.00 Pm.upf
ATOMIC_POSITIONS crystal
Pr 0.167 0.833 0.500
Pr 0.833 0.167 0.500
Pr 0.500 0.500 0.500
Sc 0.000 0.000 0.000
Y 0.588 0.919 0.755
Y 0.412 0.081 0.245
Y 0.751 0.751 0.246
Y 0.081 0.412 0.245
Y 0.249 0.249 0.754
Y 0.919 0.588 0.755
Pm 0.334 0.666 0.000
Pm 0.666 0.334 0.000
CELL_PARAMETERS angstrom
6.231 -0.001 0.002
-3.115 5.397 0.002
-1.040 -1.801 11.693

=====

> Number 2 is which compound?

Pm2Pr3Y6Sc